# BeHPd2

A relaxed BeHPd2 crystal (PBE, the Alexandria database).

For the total moment, the calculation gives 0.00 μB per formula unit. The energy relative to the lowest polymorph listed for this composition is 124 meV/atom. For the density of states at the Fermi level, the calculation gives 1.06 states/eV/f.u.

The structure belongs to space group R-3m (No. 166, hexagonal axes); the cell edges are 2.8805, 2.8805 and 17.4352 Å and the angles 90.00°, 90.00° and 120.00°. The asymmetric unit holds Be at (0.0000, 0.0000, 0.0000), H at (0.0000, 0.0000, 0.5000) and Pd at (0.0000, 0.0000, 0.2378).